[1]
{"formula": "LiH2Pd2", "functional": "PBE-GGA", "state": "relaxed", "sg": "P6_3/mmc", "lattice": [[2.9173, 0.0000, 0.0000], [-1.4586, 2.5265, 0.0000], [0.0000, 0.0000, 13.3822]], "species": ["H", "H", "H", "H", "Pd", "Pd", "Pd", "Pd", "Li", "Li"], "fractional_positions": [[0.6667, 0.3333, 0.3553], [0.3333, 0.6667, 0.8553], [0.6667, 0.3333, 0.1447], [0.3333, 0.6667, 0.6447], [0.3333, 0.6667, 0.0895], [0.6667, 0.3333, 0.9105], [0.3333, 0.6667, 0.4105], [0.6667, 0.3333, 0.5895], [0.0000, 0.0000, 0.2500], [0.0000, 0.0000, 0.7500]]}

[2]
{"formula": "LiFeH", "functional": "PBE-GGA", "state": "relaxed", "sg": "R3m", "lattice": [[-0.0939, -2.4616, 0.7436], [2.1195, 1.3941, 0.4306], [-4.9303, 3.8014, 11.9620]], "species": ["H", "H", "H", "Fe", "Fe", "Fe", "Li", "Li", "Li"], "fractional_positions": [[0.0000, 0.0000, 0.4338], [0.3333, 0.6667, 0.1004], [0.6667, 0.3333, 0.7671], [0.3333, 0.6667, 0.3668], [0.6667, 0.3333, 0.0335], [0.0000, 0.0000, 0.7002], [0.0000, 0.0000, 0.2033], [0.3333, 0.6667, 0.8700], [0.6667, 0.3333, 0.5366]]}

[3]
{"formula": "PuPaRhN3", "functional": "PBE-GGA", "state": "relaxed", "sg": "P2_1/m", "lattice": [[-1.2084, 0.6916, 3.0575], [6.3808, -1.3022, 2.8164], [1.2079, 7.3371, -1.1822]], "species": ["Pu", "Pu", "N", "N", "N", "N", "N", "N", "Pa", "Pa", "Rh", "Rh"], "fractional_positions": [[0.7500, 0.3641, 0.8280], [0.2500, 0.6359, 0.1720], [0.2500, 0.8277, 0.5764], [0.2500, 0.1145, 0.8785], [0.7500, 0.3888, 0.1267], [0.7500, 0.1723, 0.4236], [0.2500, 0.6112, 0.8733], [0.7500, 0.8855, 0.1215], [0.2500, 0.1483, 0.1885], [0.7500, 0.8517, 0.8115], [0.7500, 0.8661, 0.4154], [0.2500, 0.1339, 0.5846]]}

[4]
{"formula": "CsKPbO2", "functional": "PBE-GGA", "state": "relaxed", "sg": "C2/m", "lattice": [[5.2650, 0.0000, 0.0000], [-2.6325, 6.2076, -0.4165], [0.0000, -2.0921, 8.1346]], "species": ["O", "O", "O", "O", "Pb", "Pb", "K", "K", "Cs", "Cs"], "fractional_positions": [[0.4780, 0.9561, 0.7513], [0.8732, 0.7465, 0.9594], [0.5220, 0.0439, 0.2487], [0.1268, 0.2535, 0.0406], [0.9849, 0.9698, 0.7934], [0.0151, 0.0302, 0.2066], [0.3476, 0.6953, 0.9548], [0.6524, 0.3047, 0.0452], [0.6559, 0.3117, 0.6036], [0.3441, 0.6883, 0.3964]]}

[5]
{"formula": "Al6ZnGa2", "functional": "PBE-GGA", "state": "relaxed", "e_form_mev_per_atom": 30, "sg": "C2/m", "lattice": [[-3.8854, -0.8936, 0.5761], [-1.2763, -0.4428, 4.7879], [-3.5518, 7.5820, 1.8896]], "species": ["Ga", "Ga", "Al", "Al", "Al", "Al", "Al", "Al", "Zn"], "fractional_positions": [[0.3334, 0.6150, 0.7183], [0.6666, 0.3850, 0.2817], [0.9986, 0.1693, 0.8336], [0.3344, 0.9415, 0.3898], [0.3338, 0.2751, 0.0574], [0.0014, 0.8307, 0.1664], [0.6662, 0.7249, 0.9426], [0.6656, 0.0585, 0.6102], [0.0000, 0.5000, 0.5000]]}

[6]
{"formula": "Tb4TmS6", "functional": "PBE-GGA", "state": "relaxed", "sg": "Cmcm", "lattice": [[-3.2253, -1.9195, -0.6988], [1.9301, -1.7123, 6.2242], [-10.5879, 15.0844, 7.4330]], "species": ["S", "S", "S", "S", "S", "S", "S", "S", "S", "S", "S", "S", "Tm", "Tm", "Tb", "Tb", "Tb", "Tb", "Tb", "Tb", "Tb", "Tb"], "fractional_positions": [[0.3020, 0.6039, 0.2500], [0.5000, 0.0000, 0.0000], [0.0531, 0.1061, 0.3312], [0.9469, 0.8939, 0.8312], [0.2296, 0.4593, 0.5893], [0.7704, 0.5407, 0.0893], [0.7704, 0.5407, 0.4107], [0.5000, 0.0000, 0.5000], [0.0531, 0.1061, 0.1688], [0.2296, 0.4593, 0.9107], [0.9469, 0.8939, 0.6688], [0.6980, 0.3961, 0.7500], [0.3486, 0.6971, 0.7500], [0.6514, 0.3029, 0.2500], [0.5908, 0.1816, 0.6286], [0.8608, 0.7216, 0.9599], [0.1392, 0.2784, 0.0401], [0.8608, 0.7216, 0.5401], [0.5908, 0.1816, 0.8714], [0.1392, 0.2784, 0.4599], [0.4092, 0.8184, 0.1286], [0.4092, 0.8184, 0.3714]]}

[7]
{"formula": "ZrPaTiIn", "functional": "PBE-GGA", "state": "relaxed", "e_form_mev_per_atom": 31, "sg": "F-43m", "lattice": [[-4.3614, -1.4690, -1.8387], [-1.5703, -4.6398, 0.7529], [-3.8106, -0.8623, 3.0490]], "species": ["Zr", "Ti", "Pa", "In"], "fractional_positions": [[0.7500, 0.7500, 0.7500], [0.2500, 0.2500, 0.2500], [0.5000, 0.5000, 0.5000], [0.0000, 0.0000, 0.0000]]}

[8]
{"formula": "Dy3Ho3Hg2", "functional": "PBE-GGA", "state": "relaxed", "e_form_mev_per_atom": -162, "sg": "Cmcm", "lattice": [[-0.8443, -2.3333, 4.4989], [4.8731, -2.4482, -3.2889], [9.8100, 10.0509, 7.0538]], "species": ["Dy", "Dy", "Dy", "Dy", "Dy", "Dy", "Hg", "Hg", "Hg", "Hg", "Ho", "Ho", "Ho", "Ho", "Ho", "Ho"], "fractional_positions": [[0.7198, 0.4396, 0.2500], [0.2802, 0.5604, 0.7500], [0.0408, 0.0816, 0.8929], [0.9592, 0.9184, 0.1071], [0.0408, 0.0816, 0.6071], [0.9592, 0.9184, 0.3929], [0.7732, 0.5463, 0.8707], [0.2268, 0.4537, 0.3707], [0.7732, 0.5463, 0.6293], [0.2268, 0.4537, 0.1293], [0.3572, 0.7144, 0.5327], [0.4308, 0.8616, 0.2500], [0.6428, 0.2856, 0.0327], [0.6428, 0.2856, 0.4673], [0.5692, 0.1384, 0.7500], [0.3572, 0.7144, 0.9673]]}

[9]
{"formula": "VCoSiRh", "functional": "PBE-GGA", "state": "relaxed", "sg": "F-43m", "lattice": [[-2.3030, -1.5941, 3.0579], [0.7057, -3.8642, 1.3287], [1.6726, -0.6331, 3.7413]], "species": ["Si", "V", "Co", "Rh"], "fractional_positions": [[0.5000, 0.5000, 0.5000], [0.0000, 0.0000, 0.0000], [0.7500, 0.7500, 0.7500], [0.2500, 0.2500, 0.2500]]}

[10]
{"formula": "Ho4SiS4", "functional": "PBE-GGA", "state": "relaxed", "sg": "I4/m", "lattice": [[-5.1067, 2.1610, 4.0486], [2.6606, 2.4243, -5.8467], [-2.8592, -5.7633, -2.3977]], "species": ["Ho", "Ho", "Ho", "Ho", "Si", "S", "S", "S", "S"], "fractional_positions": [[0.7029, 0.8960, 0.5989], [0.8960, 0.2971, 0.1932], [0.1040, 0.7029, 0.8068], [0.2971, 0.1040, 0.4011], [0.0000, 0.0000, 0.0000], [0.3977, 0.8111, 0.2088], [0.8111, 0.6023, 0.4134], [0.6023, 0.1889, 0.7912], [0.1889, 0.3977, 0.5866]]}

[11]
{"formula": "BaPu2Pd", "functional": "PBE-GGA", "state": "relaxed", "e_form_mev_per_atom": 169, "sg": "R-3m", "lattice": [[-4.3882, 0.8733, 1.9850], [-1.7719, -3.0001, 3.4378], [0.6585, 2.7934, 6.2617]], "species": ["Ba", "Pd", "Pu", "Pu"], "fractional_positions": [[0.5000, 0.5000, 0.5000], [0.0000, 0.0000, 0.0000], [0.2895, 0.2895, 0.1315], [0.7105, 0.7105, 0.8685]]}

[12]
{"formula": "Er8Tl5Hg", "functional": "PBE-GGA", "state": "relaxed", "e_form_mev_per_atom": -236, "sg": "I-4", "lattice": [[-4.1835, 2.2528, -6.4407], [-4.0425, -5.6452, 3.9811], [1.1459, 6.3336, 4.7573]], "species": ["Tl", "Tl", "Tl", "Tl", "Tl", "Er", "Er", "Er", "Er", "Er", "Er", "Er", "Er", "Hg"], "fractional_positions": [[0.0018, 0.3759, 0.1274], [0.5000, 0.0000, 0.5000], [0.8726, 0.8745, 0.2485], [0.7515, 0.6241, 0.6260], [0.3740, 0.1255, 0.9982], [0.4759, 0.6000, 0.2293], [0.6204, 0.8919, 0.8700], [0.7707, 0.2466, 0.3707], [0.2715, 0.2496, 0.3796], [0.9781, 0.1081, 0.7285], [0.1241, 0.7534, 0.5241], [0.6293, 0.4000, 0.8759], [0.1300, 0.7504, 0.0219], [0.2500, 0.5000, 0.7500]]}

[13]
{"formula": "Tb4NdHo7", "functional": "PBE-GGA", "state": "relaxed", "e_form_mev_per_atom": 273, "sg": "C2/m", "lattice": [[-4.8338, -0.0820, 3.3125], [-1.4931, -11.0941, 2.7306], [0.9598, 0.6627, 6.6011]], "species": ["Ho", "Ho", "Ho", "Ho", "Ho", "Ho", "Ho", "Tb", "Tb", "Tb", "Tb", "Nd"], "fractional_positions": [[0.2109, 0.0774, 0.5008], [0.9392, 0.3272, 0.7944], [0.0608, 0.6728, 0.2056], [0.6337, 0.4982, 0.2345], [0.3663, 0.5018, 0.7655], [0.5000, 0.0000, 0.0000], [0.7891, 0.9226, 0.4992], [0.7545, 0.6809, 0.8101], [0.6335, 0.2248, 0.5082], [0.3665, 0.7752, 0.4918], [0.2455, 0.3191, 0.1899], [0.0000, 0.0000, 0.0000]]}

[14]
{"formula": "MgAlVIr", "functional": "PBE-GGA", "state": "relaxed", "e_form_mev_per_atom": -267, "sg": "F-43m", "lattice": [[4.3950, 0.0000, 0.0000], [2.1975, 3.8061, 0.0000], [2.1975, 1.2687, 3.5885]], "species": ["Ir", "Mg", "V", "Al"], "fractional_positions": [[0.7500, 0.7500, 0.7500], [0.5000, 0.5000, 0.5000], [0.2500, 0.2500, 0.2500], [0.0000, 0.0000, 0.0000]]}

[15]
{"formula": "CsSbI4", "functional": "PBE-GGA", "state": "relaxed", "sg": "C2/m", "lattice": [[-6.8568, 5.2995, 1.8279], [-7.8606, -10.1778, 0.0565], [-3.7924, 0.0447, 7.1011]], "species": ["I", "I", "I", "I", "I", "I", "I", "I", "Sb", "Sb", "Cs", "Cs"], "fractional_positions": [[0.3062, 0.1671, 0.3875], [0.3473, 0.3602, 0.8280], [0.6527, 0.6398, 0.1720], [0.6938, 0.8329, 0.6125], [0.8246, 0.3600, 0.8280], [0.1754, 0.6400, 0.1720], [0.2526, 0.0001, 0.0000], [0.7474, 0.9999, 0.0000], [0.5246, 0.2005, 0.9508], [0.4754, 0.7995, 0.0492], [0.8634, 0.1647, 0.2732], [0.1366, 0.8353, 0.7268]]}

[16]
{"formula": "Ir2Rh", "functional": "PBE-GGA", "state": "relaxed", "e_form_mev_per_atom": -13, "sg": "P-3m1", "lattice": [[2.7281, 0.0000, 0.0000], [-1.3640, 2.3626, 0.0000], [0.0000, 0.0000, 6.7092]], "species": ["Ir", "Ir", "Rh"], "fractional_positions": [[0.0000, 0.0000, 0.9992], [0.3333, 0.6667, 0.6674], [0.6667, 0.3333, 0.3333]]}

[17]
{"formula": "LiDyPuN3", "functional": "PBE-GGA", "state": "relaxed", "sg": "P2_1/m", "lattice": [[3.4137, 0.0000, 0.0000], [0.0000, 6.9952, 0.6072], [0.0000, -2.0603, 6.4730]], "species": ["Pu", "Pu", "N", "N", "N", "N", "N", "N", "Li", "Li", "Dy", "Dy"], "fractional_positions": [[0.2500, 0.6746, 0.1795], [0.7500, 0.3254, 0.8205], [0.7500, 0.8873, 0.1372], [0.7500, 0.4106, 0.1330], [0.2500, 0.7891, 0.4828], [0.7500, 0.2109, 0.5172], [0.2500, 0.5894, 0.8670], [0.2500, 0.1127, 0.8628], [0.2500, 0.0739, 0.5804], [0.7500, 0.9261, 0.4196], [0.2500, 0.1795, 0.2135], [0.7500, 0.8205, 0.7865]]}

[18]
{"formula": "PmAlAgRh", "functional": "PBE-GGA", "state": "relaxed", "e_form_mev_per_atom": -408, "sg": "F-43m", "lattice": [[-1.8803, 0.4730, 4.3818], [-1.6268, -3.8533, 2.3377], [2.3707, -1.6644, 3.8169]], "species": ["Al", "Ag", "Rh", "Pm"], "fractional_positions": [[0.0000, 0.0000, 0.0000], [0.7500, 0.7500, 0.7500], [0.2500, 0.2500, 0.2500], [0.5000, 0.5000, 0.5000]]}

[19]
{"formula": "TlBI2", "functional": "PBE-GGA", "state": "relaxed", "sg": "Fm-3m", "lattice": [[0.0000, 4.0273, 4.0273], [4.0273, 0.0000, 4.0273], [4.0273, 4.0273, 0.0000]], "species": ["I", "I", "Tl", "B"], "fractional_positions": [[0.2500, 0.2500, 0.2500], [0.7500, 0.7500, 0.7500], [0.5000, 0.5000, 0.5000], [0.0000, 0.0000, 0.0000]]}

[20]
{"formula": "LiAcTmTc", "functional": "PBE-GGA", "state": "relaxed", "e_form_mev_per_atom": 84, "sg": "F-43m", "lattice": [[5.1046, 0.0000, 0.0000], [2.5523, 4.4207, 0.0000], [2.5523, 1.4736, 4.1679]], "species": ["Tc", "Ac", "Tm", "Li"], "fractional_positions": [[0.7500, 0.7500, 0.7500], [0.5000, 0.5000, 0.5000], [0.0000, 0.0000, 0.0000], [0.2500, 0.2500, 0.2500]]}

[21]
{"formula": "TlV2InRu", "functional": "PBE-GGA", "state": "relaxed", "e_form_mev_per_atom": 2290, "sg": "P4/mmm", "lattice": [[4.8757, 0.0000, 0.0000], [0.0000, 5.1227, 0.0000], [0.0000, 0.0000, 4.8757]], "species": ["Tl", "Ru", "V", "V", "In"], "fractional_positions": [[0.0000, 0.0000, 0.0000], [0.5000, 0.5000, 0.5000], [0.0000, 0.0000, 0.5000], [0.5000, 0.0000, 0.0000], [0.0000, 0.5000, 0.0000]]}

[22]
{"formula": "CeClF", "functional": "PBE-GGA", "state": "relaxed", "sg": "I4mm", "lattice": [[-3.3712, 0.6077, 0.1396], [-0.5789, -2.7655, -1.9418], [1.6394, -1.7228, 4.9913]], "species": ["F", "Cl", "Ce"], "fractional_positions": [[0.9925, 0.9925, 0.9851], [0.2711, 0.2711, 0.5422], [0.5863, 0.5863, 0.1727]]}

[23]
{"formula": "TiCr2Sb", "functional": "PBE-GGA", "state": "relaxed", "sg": "I-42d", "lattice": [[-2.3421, 3.0358, 0.4757], [-2.6552, -1.6984, -2.2345], [-6.1541, -3.3055, 6.4849]], "species": ["Ti", "Ti", "Sb", "Sb", "Cr", "Cr", "Cr", "Cr"], "fractional_positions": [[0.2500, 0.7500, 0.5000], [0.5000, 0.5000, 0.0000], [0.7500, 0.2500, 0.5000], [0.0000, 0.0000, 0.0000], [0.1982, 0.6250, 0.2500], [0.8750, 0.8018, 0.7500], [0.3750, 0.4482, 0.7500], [0.5518, 0.1250, 0.2500]]}

Number 1: total energy -4.11 eV per atom, size of the total moment 0.000 μB/f.u.. Number 2: total energy -4.58 eV per atom, size of the total moment 1.514 μB/f.u.. Number 3: total energy -10.20 eV per atom, size of the total moment 4.292 μB/f.u.. Number 4: total energy -4.24 eV per atom, size of the total moment 0.000 μB/f.u.. Number 5: total energy -3.28 eV per atom, size of the total moment 0.000 μB/f.u.. Number 6: total energy -6.37 eV per atom, size of the total moment 0.000 μB/f.u.. Number 7: total energy -7.14 eV per atom, size of the total moment 0.067 μB/f.u.. Number 8: total energy -3.68 eV per atom, size of the total moment 0.000 μB/f.u.. Number 9: total energy -7.68 eV per atom, size of the total moment 2.841 μB/f.u.. Number 10: total energy -6.11 eV per atom, size of the total moment 0.384 μB/f.u.. Number 11: total energy -8.78 eV per atom, size of the total moment 12.038 μB/f.u.. Number 12: total energy -3.71 eV per atom, size of the total moment 0.000 μB/f.u.. Number 13: total energy -4.34 eV per atom, size of the total moment 0.000 μB/f.u.. Number 14: total energy -6.10 eV per atom, size of the total moment 2.376 μB/f.u.. Number 15: total energy -2.57 eV per atom, size of the total moment 0.000 μB/f.u.. Number 16: total energy -8.37 eV per atom, size of the total moment 0.000 μB/f.u.. Number 17: total energy -8.65 eV per atom, size of the total moment 3.001 μB/f.u.. Number 18: total energy -5.08 eV per atom, size of the total moment 0.000 μB/f.u.. Number 19: total energy -2.22 eV per atom, size of the total moment 0.000 μB/f.u.. Number 20: total energy -5.13 eV per atom, size of the total moment 0.000 μB/f.u.. Number 21: total energy -4.23 eV per atom, size of the total moment 0.363 μB/f.u.. Number 22: total energy -5.75 eV per atom, size of the total moment 1.596 μB/f.u.. Number 23: total energy -7.25 eV per atom, size of the total moment 0.000 μB/f.u..